GGA-PBE Ba3InBr7, optimized geometry; magnetic moment = 0.0 μB/cell; SG = No. 20; Fermi-level density of states = 0.0 states/eV per cell; raw formation energy = -183 kJ per mole of atoms
1.0
-3.300 -8.907 1.011
8.628 -0.518 -4.067
4.549 -0.581 9.725
Ba In Br
6 2 14
direct
0.500 0.500 0.500
0.500 0.500 0.000
0.535 0.006 0.251
0.465 0.994 0.751
0.006 0.535 0.749
0.994 0.465 0.249
0.000 0.000 0.500
0.000 0.000 0.000
0.630 0.879 0.518
0.370 0.121 0.018
0.879 0.630 0.482
0.121 0.370 0.982
0.122 0.371 0.517
0.878 0.629 0.017
0.371 0.122 0.483
0.629 0.878 0.983
0.361 0.639 0.250
0.639 0.361 0.750
0.627 0.373 0.250
0.373 0.627 0.750
0.888 0.112 0.250
0.112 0.888 0.750


GGA-PBE ReIrRh6, optimized geometry; offset from the most stable computed form = 0.817 eV per atom; magnetic moment = 0.0 μB/cell; SG = No. 166; calculated formation energy = 0.799 eV per atom; Fermi-level density of states = 15.4 states/eV per cell
1.0
5.117 0.377 0.427
-0.184 5.128 0.427
-0.184 -0.205 5.142
Re Ir Rh
1 1 6
direct
0.000 0.000 0.000
0.500 0.500 0.500
0.162 0.554 0.162
0.162 0.162 0.554
0.838 0.446 0.838
0.446 0.838 0.838
0.838 0.838 0.446
0.554 0.162 0.162


GGA-PBE Pm5Nd4Zn, optimized geometry; magnetic moment = 0.0 μB/cell; SG = No. 123; calculated formation energy = -0.055 eV per atom; Fermi-level density of states = 11.7 states/eV per cell
1.0
3.672 0.000 0.000
0.000 3.672 0.000
0.000 0.000 24.357
Pm Nd Zn
5 4 1
direct
0.500 0.500 0.074
0.500 0.500 0.287
0.500 0.500 0.500
0.500 0.500 0.713
0.500 0.500 0.926
0.000 0.000 0.182
0.000 0.000 0.394
0.000 0.000 0.606
0.000 0.000 0.818
0.000 0.000 0.000


GGA-PBE NaU2F8, optimized geometry; magnetic moment = 5.0 μB/cell; SG = No. 12; Fermi-level density of states = 13.8 states/eV per cell; raw formation energy = -330 kJ per mole of atoms
1.0
-1.940 0.106 -3.696
4.733 -4.766 -0.478
-1.812 -5.788 2.927
Na U F
1 2 8
direct
0.000 0.000 0.000
0.412 0.679 0.679
0.588 0.321 0.321
0.388 0.332 0.931
0.612 0.069 0.668
0.026 0.789 0.789
0.974 0.211 0.211
0.388 0.931 0.332
0.612 0.668 0.069
0.804 0.559 0.559
0.196 0.441 0.441


GGA-PBE KNa2AlMo, optimized geometry; magnetic moment = 4.2 μB/cell; SG = No. 123; calculated formation energy = 1.664 eV per atom; Fermi-level density of states = 3.9 states/eV per cell
1.0
5.416 0.000 0.000
0.000 5.844 0.000
0.000 0.000 5.416
Na Mo K Al
2 1 1 1
direct
0.000 0.000 0.500
0.500 0.000 0.000
0.000 0.500 0.000
0.000 0.000 0.000
0.500 0.500 0.500


GGA-PBE NaCa2CrN4, optimized geometry; magnetic moment = 2.1 μB/cell; SG = No. 31; Fermi-level density of states = 8.3 states/eV per cell; raw formation energy = -55 kJ per mole of atoms
1.0
5.330 0.000 0.000
0.000 6.047 0.000
0.000 0.000 7.908
Na Ca Cr N
2 4 2 8
direct
0.970 0.193 0.500
0.470 0.807 0.000
0.472 0.295 0.252
0.472 0.295 0.748
0.972 0.705 0.752
0.972 0.705 0.248
0.506 0.815 0.500
0.006 0.185 0.000
0.327 0.169 0.000
0.827 0.831 0.500
0.406 0.091 0.500
0.906 0.909 0.000
0.423 0.679 0.690
0.923 0.321 0.190
0.923 0.321 0.810
0.423 0.679 0.310


GGA-PBE PrMgBiAu, optimized geometry; magnetic moment = 0.0 μB/cell; SG = No. 216; calculated formation energy = -0.501 eV per atom; Fermi-level density of states = 3.6 states/eV per cell
1.0
-0.981 5.013 1.414
-4.359 2.446 -1.761
-3.966 1.082 3.345
Pr Mg Au Bi
1 1 1 1
direct
0.000 0.000 0.000
0.500 0.500 0.500
0.250 0.250 0.250
0.750 0.750 0.750


GGA-PBE YMoSe, optimized geometry; offset from the most stable computed form = 0.047 eV per atom; magnetic moment = 0.0 μB/cell; SG = No. 156; Fermi-level density of states = 1.7 states/eV per cell; raw formation energy = -25 kJ per mole of atoms
1.0
3.662 0.000 0.000
-1.831 3.171 0.000
0.000 0.000 5.648
Mo Se Y
1 1 1
direct
0.000 0.000 0.060
0.667 0.333 0.299
0.333 0.667 0.641


GGA-PBE PuAl3, optimized geometry; magnetic moment = 5.4 μB/cell; SG = No. 221; calculated formation energy = -0.265 eV per atom; Fermi-level density of states = 8.9 states/eV per cell
1.0
-3.394 -1.544 -2.071
0.734 -3.855 1.670
-2.476 0.972 3.334
Al Pu
3 1
direct
0.000 0.500 0.500
0.500 0.000 0.500
0.500 0.500 0.000
0.000 0.000 0.000


GGA-PBE CoBBr2, optimized geometry; offset from the most stable computed form = 0.042 eV per atom; magnetic moment = 3.1 μB/cell; SG = No. 166; Fermi-level density of states = 11.2 states/eV per cell; raw formation energy = 101 kJ per mole of atoms
1.0
2.105 0.000 8.239
-1.053 1.823 8.239
-1.053 -1.823 8.239
B Co Br
1 1 2
direct
0.000 0.000 0.000
0.500 0.500 0.500
0.893 0.893 0.893
0.107 0.107 0.107


GGA-PBE Li3HF, optimized geometry; offset from the most stable computed form = 0.000 eV per atom; magnetic moment = 1.0 μB/cell; SG = No. 221; Fermi-level density of states = 0.8 states/eV per cell
1.0
3.912 0.000 0.000
0.000 3.912 0.000
0.000 0.000 3.912
H Li F
1 3 1
direct
0.500 0.500 0.500
0.000 0.500 0.000
0.000 0.000 0.500
0.500 0.000 0.000
0.000 0.000 0.000


GGA-PBE FeCo2PI, optimized geometry; magnetic moment = 5.2 μB/cell; SG = No. 123; Fermi-level density of states = 10.2 states/eV per cell; raw formation energy = 83 kJ per mole of atoms
1.0
-1.369 -1.283 -4.267
2.542 -3.216 0.151
-3.393 -2.594 1.869
I P Co Fe
1 1 2 1
direct
0.500 0.500 0.500
0.000 0.500 0.000
0.000 0.000 0.500
0.500 0.000 0.000
0.000 0.000 0.000